HfGaGe2Mo | SCAN | single point on PBEsol structure

Cell lengths 4.8029, 4.8029, 5.0139 Å; angles 90.00, 90.00, 90.00 degrees
Positions (direct):
Ge: 0.0000 0.5000 0.0000
Ge: 0.5000 0.0000 0.0000
Hf: 0.0000 0.0000 0.5000
Mo: 0.0000 0.0000 0.0000
Ga: 0.5000 0.5000 0.5000

Properties
density	7.027	Mg/m³
calculated total energy	-29.8432	eV/atom
ΔE_f	0.57	eV per atom
space group	P4/mmm
crystal system	tetragonal
total moment	0.0	μB per formula unit